## Ga2Te2MoO10 (GGA+U)

Data for a geometry-optimized Ga2Te2MoO10 structure.

The structure belongs to space group Pnma (No. 62); the cell edges are 9.077, 6.157 and 15.145 Å and the angles 90.00°, 90.00° and 90.00°. The inequivalent atoms are Ga at (0.001, 0.004, 0.149), Te at (0.187, 0.750, 0.318), Te at (0.248, 0.250, 0.494), Mo at (0.184, 0.750, 0.663), O at (0.090, 0.750, 0.774), O at (0.092, 0.750, 0.078), O at (0.101, 0.250, 0.795), O at (0.104, 0.528, 0.608), O at (0.117, 0.250, 0.105), O at (0.161, 0.514, 0.236) and O at (0.176, 0.516, 0.925).

For the total energy, the calculation gives -6.04 eV/atom. Its crystal system is orthorhombic. The density comes out at 5.11 g cm⁻³.